(1)
{"formula": "LiAg2Bi2", "functional": "GGA-PBE", "state": "optimized geometry", "total_magnetization_mub_per_cell": 0.000, "final_energy_ev_per_atom": -3.112, "de_polymorph_mev_per_atom": 0, "lattice": [[7.3673, 0.0000, 0.0000], [0.0000, 7.3673, 0.0000], [0.0000, 0.0000, 4.4053]], "species": ["Bi", "Bi", "Bi", "Bi", "Ag", "Ag", "Ag", "Ag", "Li", "Li"], "frac_coords": [[0.3269, 0.1731, 0.5000], [0.8269, 0.3269, 0.5000], [0.1731, 0.6731, 0.5000], [0.6731, 0.8269, 0.5000], [0.1356, 0.3644, 0.0000], [0.8644, 0.6356, 0.0000], [0.3644, 0.8644, 0.0000], [0.6356, 0.1356, 0.0000], [0.0000, 0.0000, 0.0000], [0.5000, 0.5000, 0.0000]]}

(2)
{"formula": "Mg2CoHRh", "functional": "GGA-PBE", "state": "optimized geometry", "total_magnetization_mub_per_cell": 0.000, "final_energy_ev_per_atom": -4.397, "de_polymorph_mev_per_atom": 0, "lattice": [[4.3900, 0.0000, 0.0000], [0.0000, 4.3900, 0.0000], [0.0000, 0.0000, 3.1479]], "species": ["Mg", "Mg", "H", "Co", "Rh"], "frac_coords": [[0.0000, 0.5000, 0.0000], [0.5000, 0.0000, 0.0000], [0.0000, 0.0000, 0.0000], [0.0000, 0.0000, 0.5000], [0.5000, 0.5000, 0.5000]]}

(3)
{"formula": "LiZnPt2", "functional": "GGA-PBE", "state": "optimized geometry", "total_magnetization_mub_per_cell": 0.000, "final_energy_ev_per_atom": -4.360, "lattice": [[-2.6367, -0.9713, 0.1692], [0.9845, -2.5688, 0.5970], [-0.1317, 1.5796, 7.0141]], "species": ["Pt", "Pt", "Li", "Zn"], "frac_coords": [[0.0000, 0.0000, 0.4995], [0.0000, 0.0000, 0.0005], [0.5000, 0.5000, 0.7500], [0.5000, 0.5000, 0.2500]]}

(4)
{"formula": "SmPaFe", "functional": "GGA-PBE", "state": "optimized geometry", "total_magnetization_mub_per_cell": 0.000, "final_energy_ev_per_atom": -7.619, "de_polymorph_mev_per_atom": 0, "lattice": [[-0.1386, -3.1396, -1.6663], [5.6103, -3.5422, 2.4109], [-0.2498, -4.7652, 5.2023]], "species": ["Sm", "Sm", "Fe", "Fe", "Pa", "Pa"], "frac_coords": [[0.5000, 0.7503, 0.2497], [0.5000, 0.2497, 0.7503], [0.8438, 0.1560, 0.1564], [0.1562, 0.8440, 0.8436], [0.2217, 0.2782, 0.2783], [0.7783, 0.7218, 0.7217]]}